PuGa2Hg after structural relaxation, computed with PBE-GGA.

It has space group P4/mmm (No. 123), with a = 3.488 Å, b = 3.488 Å, c = 7.112 Å, α = 90.00°, β = 90.00° and γ = 90.00°. The distinct sites, in fractional coordinates, are Pu at (0.000, 0.000, 0.000), Ga at (0.500, 0.500, 0.272) and Hg at (0.000, 0.000, 0.500).

The energy above the lowest structure with this stoichiometry comes out at 0.41 eV/f.u. For the formation energy, the calculation gives -0.11 eV/atom. The total energy is -21.12 eV per formula unit.



PuGaHg after structural relaxation, computed with PBE-GGA.

It has space group I4mm (No. 107), with a = 3.237 Å, b = 3.237 Å, c = 12.945 Å, α = 90.00°, β = 90.00° and γ = 90.00°. The distinct sites, in fractional coordinates, are Pu at (0.000, 0.000, 0.000), Ga at (0.000, 0.000, 0.339) and Hg at (0.000, 0.000, 0.683).

The energy above the lowest structure with this stoichiometry comes out at 0.27 eV/f.u. For the formation energy, the calculation gives -0.14 eV/atom. The total energy is -18.09 eV per formula unit.



PuScGaHg after structural relaxation, computed with PBE-GGA.

It has space group P4mm (No. 99), with a = 3.441 Å, b = 3.441 Å, c = 7.551 Å, α = 90.00°, β = 90.00° and γ = 90.00°. The distinct sites, in fractional coordinates, are Pu at (0.000, 0.000, 0.000), Sc at (0.000, 0.000, 0.537), Ga at (0.500, 0.500, 0.745) and Hg at (0.500, 0.500, 0.301).

The energy above the lowest structure with this stoichiometry comes out at 0.00 eV/f.u. For the formation energy, the calculation gives -0.36 eV/atom. The total energy is -25.45 eV per formula unit.



PuScGaHg after structural relaxation, computed with PBE-GGA.

It has space group F-43m (No. 216), with a = 7.168 Å, b = 7.168 Å, c = 7.168 Å, α = 90.00°, β = 90.00° and γ = 90.00°. The distinct sites, in fractional coordinates, are Pu at (0.000, 0.000, 0.000), Sc at (0.000, 0.000, 0.500), Ga at (0.250, 0.250, 0.250) and Hg at (0.250, 0.250, 0.750).

The energy above the lowest structure with this stoichiometry comes out at 0.31 eV/f.u. For the formation energy, the calculation gives -0.29 eV/atom. The total energy is -25.15 eV per formula unit.



TbPuGaHg after structural relaxation, computed with PBE-GGA.

It has space group F-43m (No. 216), with a = 7.372 Å, b = 7.372 Å, c = 7.372 Å, α = 90.00°, β = 90.00° and γ = 90.00°. The distinct sites, in fractional coordinates, are Tb at (0.000, 0.000, 0.000), Pu at (0.000, 0.000, 0.500), Ga at (0.250, 0.250, 0.250) and Hg at (0.250, 0.250, 0.750).

For the formation energy, the calculation gives -0.32 eV/atom. The total energy is -23.57 eV per formula unit.



PuThGaHg after structural relaxation, computed with PBE-GGA.

It has space group F-43m (No. 216), with a = 7.471 Å, b = 7.471 Å, c = 7.471 Å, α = 90.00°, β = 90.00° and γ = 90.00°. The distinct sites, in fractional coordinates, are Pu at (0.000, 0.000, 0.000), Th at (0.000, 0.000, 0.500), Ga at (0.250, 0.250, 0.250) and Hg at (0.250, 0.250, 0.750).

For the formation energy, the calculation gives -0.20 eV/atom. The total energy is -25.89 eV per formula unit.



PuTlGaHg after structural relaxation, computed with PBE-GGA.

It has space group F-43m (No. 216), with a = 7.323 Å, b = 7.323 Å, c = 7.323 Å, α = 90.00°, β = 90.00° and γ = 90.00°. The distinct sites, in fractional coordinates, are Pu at (0.000, 0.000, 0.000), Tl at (0.000, 0.000, 0.500), Ga at (0.250, 0.250, 0.750) and Hg at (0.250, 0.250, 0.250).

For the formation energy, the calculation gives -0.06 eV/atom. The total energy is -20.26 eV per formula unit.



YPuGaHg after structural relaxation, computed with PBE-GGA.

It has space group F-43m (No. 216), with a = 7.368 Å, b = 7.368 Å, c = 7.368 Å, α = 90.00°, β = 90.00° and γ = 90.00°. The distinct sites, in fractional coordinates, are Y at (0.000, 0.000, 0.000), Pu at (0.000, 0.000, 0.500), Ga at (0.250, 0.250, 0.250) and Hg at (0.250, 0.250, 0.750).

For the formation energy, the calculation gives -0.33 eV/atom. The total energy is -25.44 eV per formula unit.



Pu2Zn4Ga3Hg after structural relaxation, computed with PBE-GGA.

It has space group P-4m2 (No. 115), with a = 4.266 Å, b = 4.266 Å, c = 10.823 Å, α = 90.00°, β = 90.00° and γ = 90.00°. The distinct sites, in fractional coordinates, are Pu at (0.000, 0.500, 0.238), Zn at (0.000, 0.000, 0.000), Zn at (0.000, 0.500, 0.646), Zn at (0.500, 0.500, 0.000), Ga at (0.000, 0.500, 0.869), Ga at (0.500, 0.500, 0.500) and Hg at (0.000, 0.000, 0.500).

For the formation energy, the calculation gives -0.18 eV/atom. The total energy is -44.95 eV per formula unit.



Rb2GaHg7 after structural relaxation, computed with PBE-GGA.

It has space group P-4m2 (No. 115), with a = 5.309 Å, b = 5.309 Å, c = 11.643 Å, α = 90.00°, β = 90.00° and γ = 90.00°. The distinct sites, in fractional coordinates, are Rb at (0.000, 0.500, 0.246), Ga at (0.500, 0.500, 0.000), Hg at (0.000, 0.000, 0.000), Hg at (0.000, 0.000, 0.500), Hg at (0.000, 0.500, 0.639), Hg at (0.000, 0.500, 0.895) and Hg at (0.500, 0.500, 0.500).

For the formation energy, the calculation gives -0.15 eV/atom. The total energy is -8.62 eV per formula unit.



RbGaHg2 after structural relaxation, computed with PBE-GGA.

It has space group R-3m (No. 166, hexagonal axes), with a = 4.8365 Å, b = 4.8365 Å, c = 20.0189 Å, α = 90.00°, β = 90.00° and γ = 120.00°. The distinct sites, in fractional coordinates, are Rb at (0.0000, 0.0000, 0.0000), Ga at (0.0000, 0.0000, 0.5000) and Hg at (0.0000, 0.0000, 0.2113).

For the formation energy, the calculation gives -0.12 eV/atom. The total energy is -5.06 eV per formula unit.



Rb2GaHg after structural relaxation, computed with PBE-GGA.

It has space group Fm-3m (No. 225), with a = 8.776 Å, b = 8.776 Å, c = 8.776 Å, α = 90.00°, β = 90.00° and γ = 90.00°. The distinct sites, in fractional coordinates, are Rb at (0.250, 0.250, 0.250), Ga at (0.000, 0.000, 0.000) and Hg at (0.000, 0.000, 0.500).

The energy above the lowest structure with this stoichiometry comes out at 0.00 eV/f.u. For the formation energy, the calculation gives 0.10 eV/atom. The total energy is -4.87 eV per formula unit.